# 1
Below is crystalline LaErCo at its relaxed geometry, with properties calculated at the PBE level.

abc: 6.683 6.683 6.683
angles: 90.00 90.00 90.00
Space group F-43m (No. 216)
Inequivalent atoms, fractional coordinates:
La: 0.000 0.000 0.000 x4
Er: 0.250 0.250 0.750 x4
Co: 0.000 0.000 0.500 x4

## Properties
- spin magnetization (μB/cell) = 0.0
- E (eV per atom) = -4.864
- DFT formation energy (eV per atom) = 0.67

# 2
Below is crystalline ScCuHgSb at its relaxed geometry, with properties calculated at the PBE level.

abc: 6.937 6.937 6.937
angles: 90.00 90.00 90.00
Space group F-43m (No. 216)
Inequivalent atoms, fractional coordinates:
Sc: 0.000 0.000 0.000 x4
Cu: 0.250 0.250 0.750 x4
Hg: 0.250 0.250 0.250 x4
Sb: 0.000 0.000 0.500 x4

## Properties
- spin magnetization (μB/cell) = 0.1
- E (eV per atom) = -3.646

# 3
Below is crystalline NaHfTcMo at its relaxed geometry, with properties calculated at the PBE level.

abc: 6.575 6.575 6.575
angles: 90.00 90.00 90.00
Space group F-43m (No. 216)
Inequivalent atoms, fractional coordinates:
Na: 0.000 0.000 0.000 x4
Hf: 0.000 0.000 0.500 x4
Tc: 0.250 0.250 0.250 x4
Mo: 0.250 0.250 0.750 x4

## Properties
- spin magnetization (μB/cell) = 7.8
- E (eV per atom) = -7.279